(1)
Material: AcHf2Zr
Method: DFT, PBE-GGA
State: optimized geometry

* energy: -7.917 eV per atom
* space-group type: P4/mmm (123)
* formation energy from the elements: 0.22 eV per atom

Lattice parameters (Å, degrees): 3.836 3.836 7.386 90.00 90.00 90.00
Atoms (fractional coordinates):
Ac (0.500, 0.500, 0.500)
Hf (0.000, 0.000, 0.804)
Zr (0.500, 0.500, 0.000)
Hf (0.000, 0.000, 0.196)



(2)
Material: KReAs2
Method: DFT, PBE-GGA
State: optimized geometry

* energy: -5.059 eV per atom
* space-group type: Fm-3m (225)
* formation energy from the elements: 0.65 eV per atom

Lattice parameters (Å, degrees): 4.687 4.687 4.687 60.00 60.00 60.00
Atoms (fractional coordinates):
Re (0.500, 0.500, 0.500)
As (0.750, 0.750, 0.750)
K (0.000, 0.000, 0.000)
As (0.250, 0.250, 0.250)